No. 1
# PBE TaHg4P, optimized geometry
data_TaHg4P
_cell_length_a 8.093
_cell_length_b 8.093
_cell_length_c 8.093
_cell_angle_alpha 90.00
_cell_angle_beta 90.00
_cell_angle_gamma 90.00
_space_group_name_H-M_alt 'F -4 3 m'
_space_group_IT_number 216
_space_group_name_Hall 'F -4 2 3'
loop_
_atom_site_label
_atom_site_fract_x
_atom_site_fract_y
_atom_site_fract_z
Ta1 0.000 0.000 0.000
Hg1 0.125 0.125 0.625
P1 0.250 0.250 0.250
# Mass density, kg/m3: 12709
# DFT formation energy, kJ/mol of formula units: 557.0
# Magnetization, μB per atom: 0.35

=====

No. 2
# PBE LiAc2Pm, optimized geometry
data_LiAc2Pm
_cell_length_a 3.934
_cell_length_b 3.934
_cell_length_c 9.466
_cell_angle_alpha 90.00
_cell_angle_beta 90.00
_cell_angle_gamma 90.00
_space_group_name_H-M_alt 'P 4/m m m'
_space_group_IT_number 123
_space_group_name_Hall '-P 4 2'
loop_
_atom_site_label
_atom_site_fract_x
_atom_site_fract_y
_atom_site_fract_z
Li1 0.000 0.000 0.000
Ac1 0.500 0.500 0.228
Pm1 0.000 0.000 0.500
# Mass density, kg/m3: 6868
# DFT formation energy, kJ/mol of formula units: 22.7
# Offset from the most stable computed form, eV/f.u.: 0.00
# Magnetization, μB per atom: 0.00

=====

No. 3
# PBE Sc2CoPb, optimized geometry
data_Sc2CoPb
_cell_length_a 3.632
_cell_length_b 3.632
_cell_length_c 6.568
_cell_angle_alpha 90.00
_cell_angle_beta 90.00
_cell_angle_gamma 90.00
_space_group_name_H-M_alt 'P 4 m m'
_space_group_IT_number 99
_space_group_name_Hall 'P 4 -2'
loop_
_atom_site_label
_atom_site_fract_x
_atom_site_fract_y
_atom_site_fract_z
Sc1 0.000 0.000 0.000
Sc2 0.500 0.500 0.292
Co1 0.000 0.000 0.382
Pb1 0.500 0.500 0.734
# Mass density, kg/m3: 6823
# DFT formation energy, kJ/mol of formula units: -15.0
# Magnetization, μB per atom: 0.00

=====

No. 4
# PBE Th4Bi3Te, optimized geometry
data_Th4Bi3Te
_cell_length_a 7.906
_cell_length_b 9.086
_cell_length_c 7.942
_cell_angle_alpha 90.00
_cell_angle_beta 109.23
_cell_angle_gamma 90.00
_space_group_name_H-M_alt 'P 1 2/c 1'
_space_group_IT_number 13
_space_group_name_Hall '-P 2yc'
loop_
_atom_site_label
_atom_site_fract_x
_atom_site_fract_y
_atom_site_fract_z
Th1 0.238 0.119 0.498
Th2 0.246 0.370 0.997
Bi1 0.000 0.377 0.250
Bi2 0.500 0.124 0.250
Bi3 0.500 0.374 0.750
Te1 0.000 0.127 0.750
# Mass density, kg/m3: 10375
# Offset from the most stable computed form, eV/f.u.: 0.00
# Magnetization, μB per atom: 0.00

=====

No. 5
# PBE SrGa2N, optimized geometry
data_SrGa2N
_cell_length_a 6.553
_cell_length_b 6.553
_cell_length_c 8.552
_cell_angle_alpha 90.00
_cell_angle_beta 90.00
_cell_angle_gamma 90.00
_space_group_name_H-M_alt 'I -4 2 d'
_space_group_IT_number 122
_space_group_name_Hall 'I -4 2bw'
loop_
_atom_site_label
_atom_site_fract_x
_atom_site_fract_y
_atom_site_fract_z
Sr1 0.000 0.000 0.000
Ga1 0.111 0.250 0.625
N1 0.000 0.000 0.500
# Mass density, kg/m3: 4360
# Offset from the most stable computed form, eV/f.u.: 0.00
# Magnetization, μB per atom: 0.00

=====

No. 6
# PBE Pr2Tl2TeO6, optimized geometry
data_Pr2Tl2TeO6
_cell_length_a 6.259
_cell_length_b 10.756
_cell_length_c 6.829
_cell_angle_alpha 90.00
_cell_angle_beta 106.44
_cell_angle_gamma 90.00
_space_group_name_H-M_alt 'C 1 2/m 1'
_space_group_IT_number 12
_space_group_name_Hall '-C 2y'
loop_
_atom_site_label
_atom_site_fract_x
_atom_site_fract_y
_atom_site_fract_z
Pr1 0.000 0.166 0.000
Tl1 0.000 0.338 0.500
Te1 0.000 0.500 0.000
O1 0.207 0.343 0.168
O2 0.250 0.000 0.176
# Mass density, kg/m3: 6885
# DFT total energy, eV/atom: -6.1106
# Magnetization, μB per atom: 0.00

=====

No. 7
# PBE KIr4Br, optimized geometry
data_KIr4Br
_cell_length_a 7.699
_cell_length_b 7.699
_cell_length_c 7.699
_cell_angle_alpha 90.00
_cell_angle_beta 90.00
_cell_angle_gamma 90.00
_space_group_name_H-M_alt 'F -4 3 m'
_space_group_IT_number 216
_space_group_name_Hall 'F -4 2 3'
loop_
_atom_site_label
_atom_site_fract_x
_atom_site_fract_y
_atom_site_fract_z
K1 0.000 0.000 0.000
Ir1 0.125 0.125 0.375
Br1 0.250 0.250 0.750
# Mass density, kg/m3: 12921
# DFT total energy, eV/atom: -5.4145
# Magnetization, μB per atom: 0.88

=====

No. 8
# PBE Ca2VBC, optimized geometry
data_Ca2VBC
_cell_length_a 5.724
_cell_length_b 5.724
_cell_length_c 2.949
_cell_angle_alpha 90.00
_cell_angle_beta 90.00
_cell_angle_gamma 90.00
_space_group_name_H-M_alt 'P 4/m m m'
_space_group_IT_number 123
_space_group_name_Hall '-P 4 2'
loop_
_atom_site_label
_atom_site_fract_x
_atom_site_fract_y
_atom_site_fract_z
Ca1 0.000 0.500 0.000
V1 0.000 0.000 0.500
B1 0.500 0.500 0.000
C1 0.500 0.500 0.500
# Mass density, kg/m3: 2646
# DFT formation energy, kJ/mol of formula units: 293.7
# Magnetization, μB per atom: 0.78

=====

No. 9
# PBE SnTe2I8, optimized geometry
data_SnTe2I8
_cell_length_a 14.809
_cell_length_b 9.394
_cell_length_c 8.554
_cell_angle_alpha 90.00
_cell_angle_beta 115.29
_cell_angle_gamma 90.00
_space_group_name_H-M_alt 'C 1 2/m 1'
_space_group_IT_number 12
_space_group_name_Hall '-C 2y'
loop_
_atom_site_label
_atom_site_fract_x
_atom_site_fract_y
_atom_site_fract_z
Sn1 0.000 0.000 0.000
Te1 0.138 0.000 0.556
I1 0.051 0.217 0.767
I2 0.180 0.500 0.165
I3 0.225 0.000 0.315
# Mass density, kg/m3: 4288
# DFT total energy, eV/atom: -2.1359
# Magnetization, μB per atom: 0.00

=====

No. 10
# PBE Sc2AsSe, optimized geometry
data_Sc2AsSe
_cell_length_a 3.8543
_cell_length_b 3.8543
_cell_length_c 12.9364
_cell_angle_alpha 90.00
_cell_angle_beta 90.00
_cell_angle_gamma 120.00
_space_group_name_H-M_alt 'P 63/m m c'
_space_group_IT_number 194
_space_group_name_Hall '-P 6c 2c'
loop_
_atom_site_label
_atom_site_fract_x
_atom_site_fract_y
_atom_site_fract_z
Sc1 0.3333 0.6667 0.1158
As1 0.0000 0.0000 0.0000
Se1 0.3333 0.6667 0.7500
# Mass density, kg/m3: 4865
# Offset from the most stable computed form, eV/f.u.: 0.00
# Magnetization, μB per atom: 0.00

=====

No. 11
# PBE CoCuSb2, optimized geometry
data_CoCuSb2
_cell_length_a 6.758
_cell_length_b 6.758
_cell_length_c 6.758
_cell_angle_alpha 90.00
_cell_angle_beta 90.00
_cell_angle_gamma 90.00
_space_group_name_H-M_alt 'F -4 3 m'
_space_group_IT_number 216
_space_group_name_Hall 'F -4 2 3'
loop_
_atom_site_label
_atom_site_fract_x
_atom_site_fract_y
_atom_site_fract_z
Co1 0.000 0.000 0.000
Cu1 0.250 0.250 0.250
Sb1 0.000 0.000 0.500
Sb2 0.250 0.250 0.750
# Mass density, kg/m3: 7878
# DFT total energy, eV/atom: -4.2163
# Magnetization, μB per atom: 0.28

=====

No. 12
# PBE CsNaPmSe2, optimized geometry
data_CsNaPmSe2
_cell_length_a 8.191
_cell_length_b 16.774
_cell_length_c 6.082
_cell_angle_alpha 90.00
_cell_angle_beta 90.00
_cell_angle_gamma 90.00
_space_group_name_H-M_alt 'C m m e'
_space_group_IT_number 67
_space_group_name_Hall '-C 2a 2'
loop_
_atom_site_label
_atom_site_fract_x
_atom_site_fract_y
_atom_site_fract_z
Cs1 0.000 0.250 0.182
Na1 0.000 0.000 0.000
Pm1 0.250 0.000 0.500
Se1 0.000 0.110 0.636
# Mass density, kg/m3: 3647
# DFT total energy, eV/atom: -3.9247
# Magnetization, μB per atom: 0.00

=====

No. 13
# PBE Be2V2Pt, optimized geometry
data_Be2V2Pt
_cell_length_a 5.843
_cell_length_b 5.843
_cell_length_c 3.411
_cell_angle_alpha 90.00
_cell_angle_beta 90.00
_cell_angle_gamma 90.00
_space_group_name_H-M_alt 'P 4/m b m'
_space_group_IT_number 127
_space_group_name_Hall '-P 4 2ab'
loop_
_atom_site_label
_atom_site_fract_x
_atom_site_fract_y
_atom_site_fract_z
Be1 0.128 0.372 0.000
V1 0.165 0.665 0.500
Pt1 0.000 0.000 0.000
# Mass density, kg/m3: 8982
# DFT formation energy, kJ/mol of formula units: -180.7
# Magnetization, μB per atom: 0.00

=====

No. 14
# PBE CsZrCoS4, optimized geometry
data_CsZrCoS4
_cell_length_a 6.111
_cell_length_b 6.133
_cell_length_c 9.576
_cell_angle_alpha 90.00
_cell_angle_beta 108.52
_cell_angle_gamma 90.00
_space_group_name_H-M_alt 'P 1 21/m 1'
_space_group_IT_number 11
_space_group_name_Hall '-P 2yb'
loop_
_atom_site_label
_atom_site_fract_x
_atom_site_fract_y
_atom_site_fract_z
Cs1 0.242 0.250 0.051
Zr1 0.244 0.250 0.548
Co1 0.243 0.750 0.349
S1 0.014 0.504 0.678
S2 0.441 0.750 0.580
S3 0.443 0.750 0.198
# Mass density, kg/m3: 4014
# DFT total energy, eV/atom: -5.6611
# Magnetization, μB per atom: 0.29

=====

No. 15
# PBE Na6SrI8, optimized geometry
data_Na6SrI8
_cell_length_a 13.135
_cell_length_b 13.135
_cell_length_c 13.135
_cell_angle_alpha 90.00
_cell_angle_beta 90.00
_cell_angle_gamma 90.00
_space_group_name_H-M_alt 'F m -3 m'
_space_group_IT_number 225
_space_group_name_Hall '-F 4 2 3'
loop_
_atom_site_label
_atom_site_fract_x
_atom_site_fract_y
_atom_site_fract_z
Na1 0.000 0.250 0.250
Sr1 0.000 0.000 0.000
I1 0.000 0.000 0.250
I2 0.250 0.250 0.250
# Mass density, kg/m3: 3637
# DFT total energy, eV/atom: -2.8112
# Magnetization, μB per atom: 0.00

=====

No. 16
# PBE CrSb2H, optimized geometry
data_CrSb2H
_cell_length_a 6.500
_cell_length_b 6.500
_cell_length_c 6.899
_cell_angle_alpha 90.00
_cell_angle_beta 90.00
_cell_angle_gamma 90.00
_space_group_name_H-M_alt 'I -4 2 d'
_space_group_IT_number 122
_space_group_name_Hall 'I -4 2bw'
loop_
_atom_site_label
_atom_site_fract_x
_atom_site_fract_y
_atom_site_fract_z
Cr1 0.000 0.000 0.000
Sb1 0.180 0.750 0.625
H1 0.000 0.000 0.500
# Mass density, kg/m3: 6758
# Offset from the most stable computed form, eV/f.u.: 0.00
# Magnetization, μB per atom: 0.80

=====

No. 17
# PBE LiHfTaRu, optimized geometry
data_LiHfTaRu
_cell_length_a 6.415
_cell_length_b 6.415
_cell_length_c 6.415
_cell_angle_alpha 90.00
_cell_angle_beta 90.00
_cell_angle_gamma 90.00
_space_group_name_H-M_alt 'F -4 3 m'
_space_group_IT_number 216
_space_group_name_Hall 'F -4 2 3'
loop_
_atom_site_label
_atom_site_fract_x
_atom_site_fract_y
_atom_site_fract_z
Li1 0.000 0.000 0.000
Hf1 0.250 0.250 0.250
Ta1 0.250 0.250 0.750
Ru1 0.000 0.000 0.500
# Mass density, kg/m3: 11763
# DFT formation energy, kJ/mol of formula units: -61.6
# Magnetization, μB per atom: 0.00

=====

No. 18
# PBE NiS, optimized geometry
data_NiS
_cell_length_a 10.550
_cell_length_b 3.798
_cell_length_c 4.392
_cell_angle_alpha 90.00
_cell_angle_beta 90.00
_cell_angle_gamma 90.00
_space_group_name_H-M_alt 'P m n 21'
_space_group_IT_number 31
_space_group_name_Hall 'P 2ac -2'
loop_
_atom_site_label
_atom_site_fract_x
_atom_site_fract_y
_atom_site_fract_z
Ni1 0.000 0.132 0.000
Ni2 0.194 0.355 0.727
S1 0.000 0.628 0.763
S2 0.180 0.160 0.236
# Mass density, kg/m3: 5139
# DFT total energy, eV/atom: -5.2792
# Magnetization, μB per atom: 0.00

=====

No. 19
# PBE SmErMg2Pd4, optimized geometry
data_SmErMg2Pd4
_cell_length_a 4.7796
_cell_length_b 4.7796
_cell_length_c 23.6755
_cell_angle_alpha 90.00
_cell_angle_beta 90.00
_cell_angle_gamma 120.00
_space_group_name_H-M_alt 'R -3 m'
_space_group_IT_number 166
_space_group_name_Hall '-R 3 2"'
loop_
_atom_site_label
_atom_site_fract_x
_atom_site_fract_y
_atom_site_fract_z
Sm1 0.0000 0.0000 0.0000
Er1 0.0000 0.0000 0.5000
Mg1 0.0000 0.0000 0.2485
Pd1 0.0000 0.0000 0.1263
Pd2 0.0000 0.0000 0.3790
# Mass density, kg/m3: 8422
# DFT formation energy, kJ/mol of formula units: -603.2
# Magnetization, μB per atom: 0.00

=====

No. 20
# PBE ZnCrCl2, optimized geometry
data_ZnCrCl2
_cell_length_a 7.619
_cell_length_b 7.619
_cell_length_c 9.407
_cell_angle_alpha 90.00
_cell_angle_beta 90.00
_cell_angle_gamma 90.00
_space_group_name_H-M_alt 'I -4 2 d'
_space_group_IT_number 122
_space_group_name_Hall 'I -4 2bw'
loop_
_atom_site_label
_atom_site_fract_x
_atom_site_fract_y
_atom_site_fract_z
Zn1 0.000 0.000 0.000
Cr1 0.000 0.000 0.500
Cl1 0.091 0.750 0.625
# Mass density, kg/m3: 2291
# Offset from the most stable computed form, eV/f.u.: 0.69
# Magnetization, μB per atom: 1.00

=====

No. 21
# PBE BeCrPb, optimized geometry
data_BeCrPb
_cell_length_a 6.013
_cell_length_b 6.013
_cell_length_c 6.013
_cell_angle_alpha 90.00
_cell_angle_beta 90.00
_cell_angle_gamma 90.00
_space_group_name_H-M_alt 'F -4 3 m'
_space_group_IT_number 216
_space_group_name_Hall 'F -4 2 3'
loop_
_atom_site_label
_atom_site_fract_x
_atom_site_fract_y
_atom_site_fract_z
Be1 0.000 0.000 0.000
Cr1 0.250 0.250 0.250
Pb1 0.250 0.250 0.750
# Mass density, kg/m3: 8193
# DFT formation energy, kJ/mol of formula units: 160.1
# Offset from the most stable computed form, eV/f.u.: 0.00
# Magnetization, μB per atom: 1.29

=====

No. 22
# PBE MnMoAsBr2, optimized geometry
data_MnMoAsBr2
_cell_length_a 5.257
_cell_length_b 5.257
_cell_length_c 4.946
_cell_angle_alpha 90.00
_cell_angle_beta 90.00
_cell_angle_gamma 90.00
_space_group_name_H-M_alt 'P 4/m m m'
_space_group_IT_number 123
_space_group_name_Hall '-P 4 2'
loop_
_atom_site_label
_atom_site_fract_x
_atom_site_fract_y
_atom_site_fract_z
Mn1 0.000 0.000 0.000
Mo1 0.500 0.500 0.500
As1 0.500 0.500 0.000
Br1 0.000 0.500 0.500
# Mass density, kg/m3: 4684
# Offset from the most stable computed form, eV/f.u.: 0.00
# Magnetization, μB per atom: 1.49

=====

No. 23
# PBE ZrAgB, optimized geometry
data_ZrAgB
_cell_length_a 4.4667
_cell_length_b 4.4667
_cell_length_c 5.3182
_cell_angle_alpha 90.00
_cell_angle_beta 90.00
_cell_angle_gamma 120.00
_space_group_name_H-M_alt 'P 63/m m c'
_space_group_IT_number 194
_space_group_name_Hall '-P 6c 2c'
loop_
_atom_site_label
_atom_site_fract_x
_atom_site_fract_y
_atom_site_fract_z
Zr1 0.3333 0.6667 0.2500
Ag1 0.0000 0.0000 0.0000
B1 0.3333 0.6667 0.7500
# Mass density, kg/m3: 7586
# DFT formation energy, kJ/mol of formula units: 38.5
# Magnetization, μB per atom: 0.00

=====

No. 24
# PBE Fe2Ir3Rh8, optimized geometry
data_Fe2Ir3Rh8
_cell_length_a 8.044
_cell_length_b 13.074
_cell_length_c 3.829
_cell_angle_alpha 90.00
_cell_angle_beta 90.00
_cell_angle_gamma 90.00
_space_group_name_H-M_alt 'C m m m'
_space_group_IT_number 65
_space_group_name_Hall '-C 2 2'
loop_
_atom_site_label
_atom_site_fract_x
_atom_site_fract_y
_atom_site_fract_z
Fe1 0.000 0.238 0.000
Ir1 0.000 0.500 0.000
Ir2 0.232 0.500 0.500
Rh1 0.000 0.115 0.500
Rh2 0.000 0.352 0.500
Rh3 0.249 0.362 0.000
# Mass density, kg/m3: 12467
# DFT formation energy, kJ/mol of formula units: 357.6
# Magnetization, μB per atom: 0.52